Entry 1:
First-principles (PBE) data for a relaxed structure of PmSm2Pt, as listed in Alexandria.

Structure (CIF):
```
data_PmSm2Pt
_chemical_formula_sum 'Pm4 Sm8 Pt4'
_cell_length_a 3.897
_cell_length_b 12.225
_cell_length_c 9.780
_cell_angle_alpha 90.00
_cell_angle_beta 90.00
_cell_angle_gamma 90.00
_space_group_name_H-M_alt 'P 1'
_space_group_IT_number 1
_space_group_name_Hall 'P 1'
loop_
_atom_site_label
_atom_site_type_symbol
_atom_site_fract_x
_atom_site_fract_y
_atom_site_fract_z
_atom_site_occupancy
Pm1 Pm 0.000 0.074 0.250 1
Pm2 Pm 0.000 0.926 0.750 1
Pm3 Pm 0.500 0.426 0.750 1
Pm4 Pm 0.500 0.574 0.250 1
Sm1 Sm 0.000 0.363 0.064 1
Sm2 Sm 0.000 0.363 0.436 1
Sm3 Sm 0.000 0.637 0.564 1
Sm4 Sm 0.000 0.637 0.936 1
Sm5 Sm 0.500 0.137 0.564 1
Sm6 Sm 0.500 0.137 0.936 1
Sm7 Sm 0.500 0.863 0.064 1
Sm8 Sm 0.500 0.863 0.436 1
Pt1 Pt 0.000 0.234 0.750 1
Pt2 Pt 0.000 0.766 0.250 1
Pt3 Pt 0.500 0.266 0.250 1
Pt4 Pt 0.500 0.734 0.750 1
```

Computed properties:
Energy relative to the elements = -616 meV per atom
Fermi-level density of states = 22.2 states/eV per cell
Total magnetization = 0.0 μB/f.u.
Space group = No. 63
Calculated total energy = -22.695 eV per formula unit

***

Entry 2:
First-principles (PBE) data for a relaxed structure of CrBiRu, as listed in Alexandria.

Structure (CIF):
```
data_CrBiRu
_chemical_formula_sum 'Cr2 Bi2 Ru2'
_cell_length_a 4.028
_cell_length_b 4.028
_cell_length_c 8.580
_cell_angle_alpha 90.00
_cell_angle_beta 90.00
_cell_angle_gamma 120.00
_space_group_name_H-M_alt 'P 1'
_space_group_IT_number 1
_space_group_name_Hall 'P 1'
loop_
_atom_site_label
_atom_site_type_symbol
_atom_site_fract_x
_atom_site_fract_y
_atom_site_fract_z
_atom_site_occupancy
Cr1 Cr 0.333 0.667 0.437 1
Cr2 Cr 0.667 0.333 0.563 1
Bi1 Bi 0.333 0.667 0.831 1
Bi2 Bi 0.667 0.333 0.169 1
Ru1 Ru 0.000 0.000 0.355 1
Ru2 Ru 0.000 0.000 0.645 1
```

Computed properties:
Energy relative to the elements = 255 meV per atom
Fermi-level density of states = 4.5 states/eV per cell
Total magnetization = 0.0 μB/f.u.
Space group = No. 164
Calculated total energy = -22.015 eV per formula unit

***

Entry 3:
First-principles (PBE) data for a relaxed structure of La12Bi5Pb3, as listed in Alexandria.

Structure (CIF):
```
data_La12Bi5Pb3
_chemical_formula_sum 'La48 Bi20 Pb12'
_cell_length_a 16.487
_cell_length_b 16.487
_cell_length_c 16.487
_cell_angle_alpha 109.47
_cell_angle_beta 109.47
_cell_angle_gamma 109.47
_space_group_name_H-M_alt 'P 1'
_space_group_IT_number 1
_space_group_name_Hall 'P 1'
loop_
_atom_site_label
_atom_site_type_symbol
_atom_site_fract_x
_atom_site_fract_y
_atom_site_fract_z
_atom_site_occupancy
La1 La 0.059 0.226 0.140 1
La2 La 0.059 0.332 0.918 1
La3 La 0.082 0.640 0.414 1
La4 La 0.082 0.941 0.668 1
La5 La 0.086 0.726 0.668 1
La6 La 0.086 0.860 0.418 1
La7 La 0.140 0.059 0.226 1
La8 La 0.140 0.582 0.914 1
La9 La 0.168 0.226 0.586 1
La10 La 0.168 0.441 0.582 1
La11 La 0.226 0.140 0.059 1
La12 La 0.226 0.586 0.168 1
La13 La 0.274 0.332 0.914 1
La14 La 0.274 0.441 0.360 1
La15 La 0.332 0.914 0.274 1
La16 La 0.332 0.918 0.059 1
La17 La 0.360 0.274 0.441 1
La18 La 0.360 0.586 0.918 1
La19 La 0.414 0.082 0.640 1
La20 La 0.414 0.832 0.774 1
La21 La 0.418 0.086 0.860 1
La22 La 0.418 0.832 0.559 1
La23 La 0.441 0.360 0.274 1
La24 La 0.441 0.582 0.168 1
La25 La 0.559 0.418 0.832 1
La26 La 0.559 0.640 0.726 1
La27 La 0.582 0.168 0.441 1
La28 La 0.582 0.914 0.140 1
La29 La 0.586 0.168 0.226 1
La30 La 0.586 0.918 0.360 1
La31 La 0.640 0.414 0.082 1
La32 La 0.640 0.726 0.559 1
La33 La 0.668 0.082 0.941 1
La34 La 0.668 0.086 0.726 1
La35 La 0.726 0.559 0.640 1
La36 La 0.726 0.668 0.086 1
La37 La 0.774 0.414 0.832 1
La38 La 0.774 0.860 0.941 1
La39 La 0.832 0.559 0.418 1
La40 La 0.832 0.774 0.414 1
La41 La 0.860 0.418 0.086 1
La42 La 0.860 0.941 0.774 1
La43 La 0.914 0.140 0.582 1
La44 La 0.914 0.274 0.332 1
La45 La 0.918 0.059 0.332 1
La46 La 0.918 0.360 0.586 1
La47 La 0.941 0.668 0.082 1
La48 La 0.941 0.774 0.860 1
Bi1 Bi 0.000 0.000 0.000 1
Bi2 Bi 0.000 0.000 0.500 1
Bi3 Bi 0.000 0.500 0.000 1
Bi4 Bi 0.000 0.500 0.500 1
Bi5 Bi 0.125 0.750 0.875 1
Bi6 Bi 0.125 0.875 0.250 1
Bi7 Bi 0.250 0.125 0.875 1
Bi8 Bi 0.250 0.625 0.375 1
Bi9 Bi 0.375 0.250 0.625 1
Bi10 Bi 0.375 0.625 0.750 1
Bi11 Bi 0.500 0.000 0.000 1
Bi12 Bi 0.500 0.000 0.500 1
Bi13 Bi 0.500 0.500 0.000 1
Bi14 Bi 0.500 0.500 0.500 1
Bi15 Bi 0.625 0.375 0.250 1
Bi16 Bi 0.625 0.750 0.375 1
Bi17 Bi 0.750 0.375 0.625 1
Bi18 Bi 0.750 0.875 0.125 1
Bi19 Bi 0.875 0.125 0.750 1
Bi20 Bi 0.875 0.250 0.125 1
Pb1 Pb 0.125 0.250 0.375 1
Pb2 Pb 0.125 0.375 0.750 1
Pb3 Pb 0.250 0.375 0.125 1
Pb4 Pb 0.250 0.875 0.625 1
Pb5 Pb 0.375 0.125 0.250 1
Pb6 Pb 0.375 0.750 0.125 1
Pb7 Pb 0.625 0.250 0.875 1
Pb8 Pb 0.625 0.875 0.750 1
Pb9 Pb 0.750 0.125 0.375 1
Pb10 Pb 0.750 0.625 0.875 1
Pb11 Pb 0.875 0.625 0.250 1
Pb12 Pb 0.875 0.750 0.625 1
```

Computed properties:
Energy relative to the elements = -360 meV per atom
Fermi-level density of states = 70.1 states/eV per cell
Total magnetization = 3.8 μB/f.u.
Space group = No. 230
Calculated total energy = -96.854 eV per formula unit

***

Entry 4:
First-principles (PBE) data for a relaxed structure of ZnInSn2Mo, as listed in Alexandria.

Structure (CIF):
```
data_ZnInSn2Mo
_chemical_formula_sum 'Zn1 In1 Sn2 Mo1'
_cell_length_a 5.221
_cell_length_b 5.221
_cell_length_c 4.994
_cell_angle_alpha 90.00
_cell_angle_beta 90.00
_cell_angle_gamma 90.00
_space_group_name_H-M_alt 'P 1'
_space_group_IT_number 1
_space_group_name_Hall 'P 1'
loop_
_atom_site_label
_atom_site_type_symbol
_atom_site_fract_x
_atom_site_fract_y
_atom_site_fract_z
_atom_site_occupancy
Zn1 Zn 0.000 0.000 0.000 1
In1 In 0.000 0.000 0.500 1
Sn1 Sn 0.000 0.500 0.000 1
Sn2 Sn 0.500 0.000 0.000 1
Mo1 Mo 0.500 0.500 0.500 1
```

Computed properties:
Energy relative to the elements = 1022 meV per atom
Fermi-level density of states = 2.8 states/eV per cell
Total magnetization = 4.0 μB/f.u.
Space group = No. 123
Calculated total energy = -17.739 eV per formula unit

***

Entry 5:
First-principles (PBE) data for a relaxed structure of PmHoGa2Pt5, as listed in Alexandria.

Structure (CIF):
```
data_PmHoGa2Pt5
_chemical_formula_sum 'Pm1 Ho1 Ga2 Pt5'
_cell_length_a 4.207
_cell_length_b 4.207
_cell_length_c 9.365
_cell_angle_alpha 90.00
_cell_angle_beta 90.00
_cell_angle_gamma 90.00
_space_group_name_H-M_alt 'P 1'
_space_group_IT_number 1
_space_group_name_Hall 'P 1'
loop_
_atom_site_label
_atom_site_type_symbol
_atom_site_fract_x
_atom_site_fract_y
_atom_site_fract_z
_atom_site_occupancy
Pm1 Pm 0.000 0.000 0.000 1
Ho1 Ho 0.000 0.000 0.500 1
Ga1 Ga 0.500 0.500 0.370 1
Ga2 Ga 0.500 0.500 0.630 1
Pt1 Pt 0.000 0.500 0.229 1
Pt2 Pt 0.000 0.500 0.771 1
Pt3 Pt 0.500 0.000 0.229 1
Pt4 Pt 0.500 0.000 0.771 1
Pt5 Pt 0.500 0.500 0.000 1
```

Computed properties:
Energy relative to the elements = -913 meV per atom
Fermi-level density of states = 3.8 states/eV per cell
Total magnetization = 0.0 μB/f.u.
Space group = No. 123
Calculated total energy = -53.802 eV per formula unit

***

Entry 6:
First-principles (PBE) data for a relaxed structure of Pa2BeGa8, as listed in Alexandria.

Structure (CIF):
```
data_Pa2BeGa8
_chemical_formula_sum 'Pa2 Be1 Ga8'
_cell_length_a 4.307
_cell_length_b 4.307
_cell_length_c 11.079
_cell_angle_alpha 90.00
_cell_angle_beta 90.00
_cell_angle_gamma 90.00
_space_group_name_H-M_alt 'P 1'
_space_group_IT_number 1
_space_group_name_Hall 'P 1'
loop_
_atom_site_label
_atom_site_type_symbol
_atom_site_fract_x
_atom_site_fract_y
_atom_site_fract_z
_atom_site_occupancy
Pa1 Pa 0.000 0.000 0.192 1
Pa2 Pa 0.000 0.000 0.808 1
Be1 Be 0.000 0.000 0.500 1
Ga1 Ga 0.000 0.500 0.000 1
Ga2 Ga 0.000 0.500 0.382 1
Ga3 Ga 0.000 0.500 0.618 1
Ga4 Ga 0.500 0.000 0.000 1
Ga5 Ga 0.500 0.000 0.382 1
Ga6 Ga 0.500 0.000 0.618 1
Ga7 Ga 0.500 0.500 0.190 1
Ga8 Ga 0.500 0.500 0.810 1
```

Computed properties:
Energy relative to the elements = -256 meV per atom
Fermi-level density of states = 9.3 states/eV per cell
Total magnetization = 0.0 μB/f.u.
Space group = No. 123
Calculated total energy = -49.745 eV per formula unit

***

Entry 7:
First-principles (PBE) data for a relaxed structure of Pr3Si2Rh5, as listed in Alexandria.

Structure (CIF):
```
data_Pr3Si2Rh5
_chemical_formula_sum 'Pr6 Si4 Rh10'
_cell_length_a 10.262
_cell_length_b 10.262
_cell_length_c 3.633
_cell_angle_alpha 90.00
_cell_angle_beta 90.00
_cell_angle_gamma 90.00
_space_group_name_H-M_alt 'P 1'
_space_group_IT_number 1
_space_group_name_Hall 'P 1'
loop_
_atom_site_label
_atom_site_type_symbol
_atom_site_fract_x
_atom_site_fract_y
_atom_site_fract_z
_atom_site_occupancy
Pr1 Pr 0.000 0.000 0.000 1
Pr2 Pr 0.175 0.325 0.000 1
Pr3 Pr 0.325 0.825 0.000 1
Pr4 Pr 0.500 0.500 0.000 1
Pr5 Pr 0.675 0.175 0.000 1
Pr6 Pr 0.825 0.675 0.000 1
Si1 Si 0.120 0.620 0.000 1
Si2 Si 0.380 0.120 0.000 1
Si3 Si 0.620 0.880 0.000 1
Si4 Si 0.880 0.380 0.000 1
Rh1 Rh 0.000 0.500 0.500 1
Rh2 Rh 0.070 0.771 0.500 1
Rh3 Rh 0.229 0.070 0.500 1
Rh4 Rh 0.271 0.570 0.500 1
Rh5 Rh 0.430 0.271 0.500 1
Rh6 Rh 0.500 0.000 0.500 1
Rh7 Rh 0.570 0.729 0.500 1
Rh8 Rh 0.729 0.430 0.500 1
Rh9 Rh 0.771 0.930 0.500 1
Rh10 Rh 0.930 0.229 0.500 1
```

Computed properties:
Fermi-level density of states = 10.2 states/eV per cell
Total magnetization = 0.0 μB/f.u.
Space group = No. 127
Calculated total energy = -70.284 eV per formula unit
Raw formation energy = -805 kJ/mol of formula units

***

Entry 8:
First-principles (PBE) data for a relaxed structure of Tl4InAg, as listed in Alexandria.

Structure (CIF):
```
data_Tl4InAg
_chemical_formula_sum 'Tl4 In1 Ag1'
_cell_length_a 6.389
_cell_length_b 6.389
_cell_length_c 6.389
_cell_angle_alpha 60.00
_cell_angle_beta 60.00
_cell_angle_gamma 60.00
_space_group_name_H-M_alt 'P 1'
_space_group_IT_number 1
_space_group_name_Hall 'P 1'
loop_
_atom_site_label
_atom_site_type_symbol
_atom_site_fract_x
_atom_site_fract_y
_atom_site_fract_z
_atom_site_occupancy
Tl1 Tl 0.125 0.125 0.125 1
Tl2 Tl 0.125 0.125 0.626 1
Tl3 Tl 0.125 0.626 0.125 1
Tl4 Tl 0.626 0.125 0.125 1
In1 In 0.500 0.500 0.500 1
Ag1 Ag 0.750 0.750 0.750 1
```

Computed properties:
Energy relative to the elements = 273 meV per atom
Fermi-level density of states = 4.0 states/eV per cell
Total magnetization = 0.0 μB/f.u.
Space group = No. 216
Calculated total energy = -13.417 eV per formula unit